Record 1
DFT (SCAN) results for a PBEsol-optimized structure of NiBr2N.

Properties
D(E_F): 0.3 states/eV/f.u.
Raw total energy: -14.737 eV per atom
Symmetry: R-3m (166)

abc: 3.541 3.541 7.556
angles: 76.45 76.45 60.00
Element x y z (fractional)
N  0.500  0.500  0.500
Br  0.901  0.901  0.297
Br  0.099  0.099  0.703
Ni  0.000  0.000  0.000

Record 2
DFT (SCAN) results for a PBEsol-optimized structure of TmZnSn.

Properties
ΔE_f: -0.578 eV/atom
D(E_F): 1.1 states/eV/f.u.
Raw total energy: -34.334 eV per atom
Symmetry: P6_3/mmc (194)

abc: 4.568 4.568 6.931
angles: 90.00 90.00 120.00
Element x y z (fractional)
Tm  0.000  0.000  0.000
Tm  0.000  0.000  0.500
Zn  0.667  0.333  0.250
Zn  0.333  0.667  0.750
Sn  0.333  0.667  0.250
Sn  0.667  0.333  0.750